A plane-wave DFT calculation with PBE+U was carried out for crystalline TmV2GaO8 at its relaxed geometry.

Summary:
The final energy comes out at -175.36 eV/cell. For the size of the total moment, the calculation gives 0.0 μB/f.u.

```
data_TmV2GaO8
_symmetry_space_group_name_H-M 'I -4 m 2'
_symmetry_Int_Tables_number 119
_symmetry_space_group_name_Hall 'I -4 -2'
_cell_length_a 6.830
_cell_length_b 6.830
_cell_length_c 6.325
_cell_angle_alpha 90.00
_cell_angle_beta 90.00
_cell_angle_gamma 90.00
loop_
_atom_site_label
_atom_site_type_symbol
_atom_site_fract_x
_atom_site_fract_y
_atom_site_fract_z
Tm1 Tm 0.000 0.000 0.000
V1 V 0.000 0.000 0.500
V2 V 0.000 0.500 0.750
Ga1 Ga 0.000 0.500 0.250
O1 O 0.000 0.201 0.327
O2 O 0.000 0.309 0.928
```